# KDyPO

An optimized crystal structure of KDyPO (PBE-GGA, OQMD).

Geometry as POSCAR:
```
KDyPO
1.0
4.047 0.000 0.000
0.000 4.047 0.000
0.000 0.000 5.054
K Dy P O
1 1 1 1
direct
0.000 0.000 0.000
0.500 0.500 0.500
0.000 0.000 0.500
0.500 0.500 0.000
```

Properties
Crystal system = tetragonal
Calculated volume = 82.8 Å³/f.u.
Total magnetic moment = 0.0 Bohr magnetons per cell
Electronic total energy = -5.037 eV/atom
Energy above the lowest structure with this stoichiometry = 493 meV per atom

***

# NdBiPd

An optimized crystal structure of NdBiPd (PBE-GGA, OQMD).

Geometry as POSCAR:
```
NdBiPd
1.0
0.000 3.564 3.564
3.564 0.000 3.564
3.564 3.564 0.000
Nd Bi Pd
1 1 1
direct
0.000 0.000 0.000
0.750 0.750 0.750
0.250 0.250 0.250
```

Properties
Crystal system = cubic
Calculated volume = 90.6 Å³/f.u.
Total magnetic moment = 0.0 Bohr magnetons per cell
Electronic total energy = -4.908 eV/atom

***

# PaTcOs

An optimized crystal structure of PaTcOs (PBE-GGA, OQMD).

Geometry as POSCAR:
```
PaTcOs
1.0
0.000 3.136 3.136
3.136 0.000 3.136
3.136 3.136 0.000
Pa Tc Os
1 1 1
direct
0.000 0.000 0.000
0.250 0.250 0.250
0.750 0.750 0.750
```

Properties
Crystal system = cubic
Calculated volume = 61.7 Å³/f.u.
Total magnetic moment = 0.0 Bohr magnetons per cell
Electronic total energy = -9.835 eV/atom
Energy above the lowest structure with this stoichiometry = 196 meV per atom

***

# KAgSnSe3

An optimized crystal structure of KAgSnSe3 (PBE-GGA, OQMD).

Geometry as POSCAR:
```
KAgSnSe3
1.0
14.685 0.000 0.000
0.000 4.161 0.000
0.000 0.000 11.059
K Ag Sn Se
4 4 4 12
direct
0.223 0.250 0.029
0.277 0.750 0.529
0.723 0.250 0.471
0.777 0.750 0.971
0.019 0.750 0.079
0.481 0.250 0.579
0.519 0.750 0.421
0.981 0.250 0.921
0.018 0.250 0.344
0.482 0.750 0.844
0.518 0.250 0.156
0.982 0.750 0.656
0.092 0.750 0.851
0.097 0.250 0.564
0.132 0.750 0.268
0.368 0.250 0.768
0.403 0.750 0.064
0.408 0.250 0.351
0.592 0.750 0.649
0.597 0.250 0.936
0.632 0.750 0.232
0.868 0.250 0.732
0.903 0.750 0.436
0.908 0.250 0.149
```

Properties
Crystal system = orthorhombic
Calculated volume = 168.9 Å³/f.u.
Electronic total energy = -3.603 eV/atom
Energy above the lowest structure with this stoichiometry = 0 meV per atom

***

# LiLuGaFe

An optimized crystal structure of LiLuGaFe (PBE-GGA, OQMD).

Geometry as POSCAR:
```
LiLuGaFe
1.0
0.000 3.184 3.184
3.184 0.000 3.184
3.184 3.184 0.000
Li Lu Ga Fe
1 1 1 1
direct
0.000 0.000 0.000
0.750 0.750 0.750
0.250 0.250 0.250
0.500 0.500 0.500
```

Properties
Crystal system = cubic
Calculated volume = 64.5 Å³/f.u.
Total magnetic moment = 2.2 Bohr magnetons per cell
Electronic total energy = -4.529 eV/atom
Energy above the lowest structure with this stoichiometry = 0 meV per atom

***

# LiSnBPt

An optimized crystal structure of LiSnBPt (PBE-GGA, OQMD).

Geometry as POSCAR:
```
LiSnBPt
1.0
0.000 3.032 3.032
3.032 0.000 3.032
3.032 3.032 0.000
Li Sn B Pt
1 1 1 1
direct
0.000 0.000 0.000
0.750 0.750 0.750
0.500 0.500 0.500
0.250 0.250 0.250
```

Properties
Crystal system = cubic
Calculated volume = 55.7 Å³/f.u.
Total magnetic moment = 0.0 Bohr magnetons per cell
Electronic total energy = -4.336 eV/atom
Energy above the lowest structure with this stoichiometry = 73 meV per atom

***

# SrZrBePt

An optimized crystal structure of SrZrBePt (PBE-GGA, OQMD).

Geometry as POSCAR:
```
SrZrBePt
1.0
0.000 3.467 3.467
3.467 0.000 3.467
3.467 3.467 0.000
Sr Zr Be Pt
1 1 1 1
direct
0.000 0.000 0.000
0.500 0.500 0.500
0.750 0.750 0.750
0.250 0.250 0.250
```

Properties
Crystal system = cubic
Calculated volume = 83.4 Å³/f.u.
Total magnetic moment = 0.0 Bohr magnetons per cell
Electronic total energy = -5.020 eV/atom
Energy above the lowest structure with this stoichiometry = 6 meV per atom

***

# NbAuSeO

An optimized crystal structure of NbAuSeO (PBE-GGA, OQMD).

Geometry as POSCAR:
```
NbAuSeO
1.0
7.397 0.000 0.000
0.000 6.958 0.000
-0.801 0.000 5.669
Nb Au Se O
4 4 4 4
direct
0.062 0.090 0.240
0.062 0.410 0.740
0.938 0.590 0.260
0.938 0.910 0.760
0.423 0.173 0.480
0.423 0.327 0.980
0.577 0.673 0.020
0.577 0.827 0.520
0.273 0.519 0.456
0.273 0.981 0.956
0.727 0.019 0.044
0.727 0.481 0.544
0.025 0.661 0.908
0.025 0.839 0.408
0.975 0.161 0.592
0.975 0.339 0.092
```

Properties
Crystal system = monoclinic
Calculated volume = 72.9 Å³/f.u.
Total magnetic moment = 0.0 Bohr magnetons per cell
Electronic total energy = -6.368 eV/atom
Energy above the lowest structure with this stoichiometry = 0 meV per atom

***

# GdHoNi2Pb

An optimized crystal structure of GdHoNi2Pb (PBE-GGA, OQMD).

Geometry as POSCAR:
```
GdHoNi2Pb
1.0
3.695 0.000 0.000
0.000 1.992 7.141
0.000 -1.992 7.141
Gd Ho Ni Pb
1 1 2 1
direct
0.000 0.000 0.000
0.000 0.721 0.721
0.500 0.162 0.162
0.500 0.564 0.564
0.500 0.359 0.359
```

Properties
Crystal system = orthorhombic
Calculated volume = 105.1 Å³/f.u.
Total magnetic moment = 0.0 Bohr magnetons per cell
Electronic total energy = -5.329 eV/atom

***

# PrErPO

An optimized crystal structure of PrErPO (PBE-GGA, OQMD).

Geometry as POSCAR:
```
PrErPO
1.0
4.305 0.000 0.000
0.000 4.305 0.000
0.000 0.000 8.875
Pr Er P O
2 2 2 2
direct
0.250 0.750 0.000
0.750 0.250 0.000
0.250 0.250 0.407
0.750 0.750 0.593
0.250 0.250 0.784
0.750 0.750 0.216
0.250 0.750 0.500
0.750 0.250 0.500
```

Properties
Crystal system = tetragonal
Calculated volume = 82.3 Å³/f.u.
Total magnetic moment = 0.1 Bohr magnetons per cell
Electronic total energy = -6.684 eV/atom
Energy above the lowest structure with this stoichiometry = 250 meV per atom

***

# Gd2TmIn3Pt2Au

An optimized crystal structure of Gd2TmIn3Pt2Au (PBE-GGA, OQMD).

Geometry as POSCAR:
```
Gd2TmIn3Pt2Au
1.0
3.823 0.000 0.000
0.000 6.728 3.902
0.000 -6.728 3.902
Gd Tm In Pt Au
2 1 3 2 1
direct
0.000 0.204 0.796
0.000 0.796 0.204
0.000 0.612 0.612
0.500 0.205 0.473
0.500 0.473 0.205
0.500 0.935 0.935
0.500 0.539 0.867
0.500 0.867 0.539
0.000 0.205 0.205
```

Properties
Crystal system = orthorhombic
Calculated volume = 200.7 Å³/f.u.
Total magnetic moment = 0.0 Bohr magnetons per cell
Electronic total energy = -5.062 eV/atom

***

# Ta2OsW

An optimized crystal structure of Ta2OsW (PBE-GGA, OQMD).

Geometry as POSCAR:
```
Ta2OsW
1.0
3.191 -3.233 0.000
3.191 3.233 0.000
0.000 0.000 3.180
Ta Os W
2 1 1
direct
0.000 0.500 0.000
0.500 0.000 0.000
0.000 0.000 0.500
0.500 0.500 0.500
```

Properties
Crystal system = orthorhombic
Calculated volume = 65.6 Å³/f.u.
Total magnetic moment = 0.0 Bohr magnetons per cell
Electronic total energy = -12.263 eV/atom
Energy above the lowest structure with this stoichiometry = 10 meV per atom